First-principles (GGA-PBEsol) data for a relaxed Li2Mg crystal, as listed in Alexandria via LeMat-Bulk. Values from VASP.

```
&SYSTEM
  ibrav = 0, nat = 6, ntyp = 2
/
ATOMIC_SPECIES
Li 6.94 Li.upf
Mg 24.30 Mg.upf
CELL_PARAMETERS angstrom
1.691 -7.230 0.000
1.691 7.230 0.000
0.000 0.000 4.820
ATOMIC_POSITIONS angstrom
Li 1.691 5.995 3.615
Li 1.691 3.566 1.205
Li 1.691 -3.566 3.615
Li 1.691 -5.995 1.205
Mg 1.691 1.182 3.615
Mg 1.691 -1.182 1.205
```

* formation energy from the elements: -0.1 eV/f.u.
* raw total energy: -0.1416 Ry per atom
* total moment: 0.00 μB per atom


First-principles (GGA-PBEsol) data for a relaxed YRuN2O crystal, as listed in Alexandria via LeMat-Bulk. Values from VASP.

```
&SYSTEM
  ibrav = 0, nat = 5, ntyp = 4
/
ATOMIC_SPECIES
Y 88.91 Y.upf
Ru 101.07 Ru.upf
N 14.01 N.upf
O 16.00 O.upf
CELL_PARAMETERS angstrom
4.287 0.000 0.000
0.000 4.287 0.000
0.000 0.000 4.165
ATOMIC_POSITIONS angstrom
Y 0.000 0.000 0.000
Ru 2.144 2.144 2.083
N 0.000 2.144 0.000
N 2.144 0.000 0.000
O 0.000 0.000 2.083
```

* raw total energy: -0.4944 Ry per atom
* total moment: 1.07 μB per atom
* E_form (uncorrected): 1133 meV per atom


First-principles (GGA-PBEsol) data for a relaxed ScRe2PPb crystal, as listed in Alexandria via LeMat-Bulk. Values from VASP.

```
&SYSTEM
  ibrav = 0, nat = 5, ntyp = 4
/
ATOMIC_SPECIES
Sc 44.96 Sc.upf
Re 186.21 Re.upf
P 30.97 P.upf
Pb 207.20 Pb.upf
CELL_PARAMETERS angstrom
4.800 0.000 0.000
0.000 4.800 0.000
0.000 0.000 4.668
ATOMIC_POSITIONS angstrom
Sc 0.000 0.000 0.000
Re 0.000 2.400 0.000
Re 2.400 0.000 0.000
P 0.000 0.000 2.334
Pb 2.400 2.400 2.334
```

* formation energy from the elements: 9.6 eV/f.u.
* raw total energy: -0.4922 Ry per atom
* total moment: 0.62 μB per atom


First-principles (GGA-PBEsol) data for a relaxed InB2PIr crystal, as listed in Alexandria via LeMat-Bulk. Values from VASP.

```
&SYSTEM
  ibrav = 0, nat = 5, ntyp = 4
/
ATOMIC_SPECIES
In 114.82 In.upf
B 10.81 B.upf
P 30.97 P.upf
Ir 192.22 Ir.upf
CELL_PARAMETERS angstrom
4.087 0.000 0.000
0.000 4.087 0.000
0.000 0.000 5.231
ATOMIC_POSITIONS angstrom
In 0.000 0.000 0.000
B 0.000 2.043 0.000
B 2.043 0.000 0.000
P 2.043 2.043 2.616
Ir 0.000 0.000 2.616
```

* formation energy from the elements: 11.5 eV/f.u.
* raw total energy: -0.3111 Ry per atom
* total moment: 0.00 μB per atom


First-principles (GGA-PBEsol) data for a relaxed Li4FeCu3O8 crystal, as listed in Alexandria via LeMat-Bulk. Values from VASP.

```
&SYSTEM
  ibrav = 0, nat = 16, ntyp = 4
/
ATOMIC_SPECIES
Li 6.94 Li.upf
Fe 55.84 Fe.upf
Cu 63.55 Cu.upf
O 16.00 O.upf
CELL_PARAMETERS angstrom
2.897 1.673 4.674
-2.897 1.673 4.674
0.000 -3.346 4.674
ATOMIC_POSITIONS angstrom
Li 0.000 0.000 0.000
Li -1.449 -0.836 4.674
Li -1.449 0.836 9.347
Li 0.000 1.673 4.674
Fe 0.000 0.000 7.011
Cu -2.897 0.000 7.011
Cu -1.449 0.836 2.337
Cu 1.449 0.836 2.337
O 0.000 0.000 3.374
O -1.345 -0.776 8.073
O 0.000 -1.553 5.948
O -1.345 0.776 5.948
O 1.345 -0.776 8.073
O 0.000 1.553 8.073
O 1.345 0.776 5.948
O 0.000 0.000 10.647
```

* raw total energy: -0.4199 Ry per atom
* total moment: 0.37 μB per atom
* E_form (uncorrected): -1224 meV per atom


First-principles (GGA-PBEsol) data for a relaxed Sr7CaTi7MnO24 crystal, as listed in Alexandria via LeMat-Bulk. Values from VASP.

```
&SYSTEM
  ibrav = 0, nat = 40, ntyp = 5
/
ATOMIC_SPECIES
Sr 87.62 Sr.upf
Ca 40.08 Ca.upf
Ti 47.87 Ti.upf
Mn 54.94 Mn.upf
O 16.00 O.upf
CELL_PARAMETERS angstrom
5.482 3.165 4.479
-5.482 3.165 4.479
0.000 -6.330 4.479
ATOMIC_POSITIONS angstrom
Sr 0.000 0.000 0.000
Sr 0.000 -3.150 2.231
Sr -2.728 1.575 2.231
Sr 2.728 1.575 2.231
Sr 0.000 -3.173 8.932
Sr -2.748 1.586 8.932
Sr 2.748 1.586 8.932
Ca 0.000 0.000 6.551
Ti 0.000 -3.165 5.583
Ti -2.733 -1.578 7.810
Ti -2.741 1.582 5.583
Ti 2.733 -1.578 7.810
Ti 0.000 3.155 7.810
Ti 0.000 0.000 10.034
Ti 2.741 1.582 5.583
Mn 0.000 0.000 3.356
O -1.375 -3.939 4.495
O -4.099 0.779 4.495
O -4.107 -2.371 6.746
O -1.348 -0.778 2.272
O 1.348 -0.778 2.272
O 0.000 1.557 2.272
O 1.375 -3.939 4.495
O -2.724 3.160 4.495
O 0.000 -1.531 4.489
O -1.326 0.766 4.489
O -1.350 -2.351 6.731
O -2.711 0.006 6.731
O 1.326 0.766 4.489
O 1.350 -2.351 6.731
O -1.361 2.345 6.731
O -1.377 -0.795 8.988
O 2.711 0.006 6.731
O 1.361 2.345 6.731
O 4.099 0.779 4.495
O 2.724 3.160 4.495
O 4.107 -2.371 6.746
O 0.000 4.743 6.746
O 1.377 -0.795 8.988
O 0.000 1.590 8.988
```

* raw total energy: -0.6106 Ry per atom
* total moment: 0.07 μB per atom
* E_form (uncorrected): -3082 meV per atom


First-principles (GGA-PBEsol) data for a relaxed SrWSe2N crystal, as listed in Alexandria via LeMat-Bulk. Values from VASP.

```
&SYSTEM
  ibrav = 0, nat = 5, ntyp = 4
/
ATOMIC_SPECIES
Sr 87.62 Sr.upf
W 183.84 W.upf
Se 78.96 Se.upf
N 14.01 N.upf
CELL_PARAMETERS angstrom
5.103 0.000 0.000
0.000 5.103 0.000
0.000 0.000 3.864
ATOMIC_POSITIONS angstrom
Sr 0.000 0.000 0.000
W 2.551 2.551 1.932
Se 0.000 2.551 1.932
Se 2.551 0.000 1.932
N 2.551 2.551 0.000
```

* raw total energy: -0.5229 Ry per atom
* total moment: 0.00 μB per atom
* E_form (uncorrected): -740 meV per atom


First-principles (GGA-PBEsol) data for a relaxed BeRu2Pt crystal, as listed in Alexandria via LeMat-Bulk. Values from VASP.

```
&SYSTEM
  ibrav = 0, nat = 4, ntyp = 3
/
ATOMIC_SPECIES
Be 9.01 Be.upf
Ru 101.07 Ru.upf
Pt 195.08 Pt.upf
CELL_PARAMETERS angstrom
2.738 0.000 0.000
0.000 2.738 0.000
0.000 0.000 6.533
ATOMIC_POSITIONS angstrom
Be 0.000 0.000 0.000
Ru 1.369 1.369 1.358
Ru 1.369 1.369 5.175
Pt 0.000 0.000 3.267
```

* formation energy from the elements: -0.3 eV/f.u.
* raw total energy: -0.5808 Ry per atom
* total moment: 0.00 μB per atom


First-principles (GGA-PBEsol) data for a relaxed Sb2PAu crystal, as listed in Alexandria via LeMat-Bulk. Values from VASP.

```
&SYSTEM
  ibrav = 0, nat = 4, ntyp = 3
/
ATOMIC_SPECIES
Sb 121.76 Sb.upf
P 30.97 P.upf
Au 196.97 Au.upf
CELL_PARAMETERS angstrom
-1.712 2.597 4.804
1.712 -2.597 4.804
1.712 2.597 -4.804
ATOMIC_POSITIONS angstrom
Sb 0.000 0.000 0.000
Sb 0.000 2.597 1.648
P 0.000 0.000 4.290
Au 1.712 0.000 2.385
```

* raw total energy: -0.3281 Ry per atom
* total moment: 0.00 μB per atom
* E_form (uncorrected): 244 meV per atom


First-principles (GGA-PBEsol) data for a relaxed UGeRh crystal, as listed in Alexandria via LeMat-Bulk. Values from VASP.

```
&SYSTEM
  ibrav = 0, nat = 12, ntyp = 3
/
ATOMIC_SPECIES
U 238.03 U.upf
Ge 72.64 Ge.upf
Rh 102.91 Rh.upf
CELL_PARAMETERS angstrom
5.804 0.000 0.000
0.000 4.513 0.000
0.000 0.000 7.835
ATOMIC_POSITIONS angstrom
U 0.023 1.128 1.788
U 2.879 3.384 5.706
U 2.925 1.128 2.129
U 5.780 3.384 6.046
Ge 1.266 1.128 4.574
Ge 1.636 3.384 0.657
Ge 4.168 1.128 7.178
Ge 4.537 3.384 3.261
Rh 1.396 3.384 3.267
Rh 1.505 1.128 7.185
Rh 4.298 3.384 0.650
Rh 4.407 1.128 4.568
```

* formation energy from the elements: -1.6 eV/f.u.
* raw total energy: -0.6573 Ry per atom
* total moment: 0.61 μB per atom


First-principles (GGA-PBEsol) data for a relaxed Ta2SbAu crystal, as listed in Alexandria via LeMat-Bulk. Values from VASP.

```
&SYSTEM
  ibrav = 0, nat = 4, ntyp = 3
/
ATOMIC_SPECIES
Ta 180.95 Ta.upf
Sb 121.76 Sb.upf
Au 196.97 Au.upf
CELL_PARAMETERS angstrom
3.185 0.000 0.000
0.000 3.185 0.000
0.000 0.000 7.125
ATOMIC_POSITIONS angstrom
Ta 0.000 0.000 1.730
Ta 0.000 0.000 5.395
Sb 1.592 1.592 0.000
Au 1.592 1.592 3.562
```

* raw total energy: -0.6047 Ry per atom
* total moment: 0.00 μB per atom
* E_form (uncorrected): 168 meV per atom


First-principles (GGA-PBEsol) data for a relaxed Fe3Mo3C crystal, as listed in Alexandria via LeMat-Bulk. Values from VASP.

```
&SYSTEM
  ibrav = 0, nat = 28, ntyp = 3
/
ATOMIC_SPECIES
Fe 55.84 Fe.upf
Mo 95.94 Mo.upf
C 12.01 C.upf
CELL_PARAMETERS angstrom
0.000 5.454 5.454
5.454 0.000 5.454
5.454 5.454 0.000
ATOMIC_POSITIONS angstrom
Fe 0.000 0.000 0.000
Fe 2.727 2.727 0.000
Fe 2.727 0.000 2.727
Fe 8.705 4.929 4.929
Fe 2.203 2.203 2.203
Fe 5.978 5.978 2.203
Fe 5.978 2.203 5.978
Fe 0.000 2.727 2.727
Fe 4.929 8.705 4.929
Fe 4.929 4.929 8.705
Fe 8.705 8.705 8.705
Fe 2.203 5.978 5.978
Mo 4.090 4.090 1.876
Mo 4.090 1.876 4.090
Mo 6.304 4.090 4.090
Mo 6.817 6.817 4.603
Mo 6.817 4.603 6.817
Mo 9.031 6.817 6.817
Mo 1.876 4.090 4.090
Mo 4.090 6.304 4.090
Mo 4.090 4.090 6.304
Mo 4.603 6.817 6.817
Mo 6.817 9.031 6.817
Mo 6.817 6.817 9.031
C 5.454 2.727 2.727
C 2.727 5.454 2.727
C 2.727 2.727 5.454
C 5.454 5.454 5.454
```

* formation energy from the elements: -0.8 eV/f.u.
* raw total energy: -0.7628 Ry per atom
* total moment: 0.00 μB per atom


Q: The highest total moment belongs to which entry?
A: YRuN2O


Q: What is the formula in the seventh record?
A: SrWSe2N